# 1
{
  "formula": "HgAu2F8",
  "functional": "PBE",
  "state": "relaxed",
  "final_energy_ev_per_cell": -31.31,
  "dos_ef_per_ev_cell": 6.03,
  "volume_a3_per_atom": 17.2,
  "de_polymorph_mev_per_atom": 308,
  "cell": [[6.314, -3.607, 0.000], [6.314, 3.607, 0.000], [-0.262, 0.000, 4.165]],
  "species": ["Hg", "Au", "Au", "F", "F", "F", "F", "F", "F", "F", "F"],
  "frac_coords": [[0.000, 0.000, 0.000], [0.261, 0.261, 0.768], [0.739, 0.739, 0.232], [0.055, 0.707, 0.227], [0.247, 0.247, 0.267], [0.293, 0.945, 0.773], [0.415, 0.415, 0.770], [0.585, 0.585, 0.230], [0.707, 0.055, 0.227], [0.753, 0.753, 0.733], [0.945, 0.293, 0.773]]
}



# 2
{
  "formula": "Ac4TlPdRh2",
  "functional": "PBE",
  "state": "relaxed",
  "final_energy_ev_per_cell": -85.33,
  "dos_ef_per_ev_cell": 11.58,
  "volume_a3_per_atom": 32.6,
  "e_form_ev_per_atom": -0.50,
  "cell": [[2.183, -6.821, 0.000], [2.183, 6.821, 0.000], [0.000, 0.000, 17.520]],
  "species": ["Ac", "Ac", "Ac", "Ac", "Ac", "Ac", "Ac", "Ac", "Tl", "Tl", "Pd", "Pd", "Rh", "Rh", "Rh", "Rh"],
  "frac_coords": [[0.000, 0.000, 0.000], [0.000, 0.000, 0.500], [0.275, 0.725, 0.590], [0.275, 0.725, 0.910], [0.415, 0.585, 0.250], [0.585, 0.415, 0.750], [0.725, 0.275, 0.090], [0.725, 0.275, 0.410], [0.120, 0.880, 0.250], [0.880, 0.120, 0.750], [0.245, 0.755, 0.750], [0.755, 0.245, 0.250], [0.372, 0.628, 0.063], [0.372, 0.628, 0.437], [0.628, 0.372, 0.563], [0.628, 0.372, 0.937]]
}



no.,total magnetic moment (μB per formula unit)
1,1.9
2,0.0